Entry 1:
Entry from Alexandria: an optimized crystal structure of CoTePt2 (GGA-PBEsol).

Spin magnetization, μB per atom: 0.464
Raw formation energy, eV/atom: 0.161

abc: 3.4263 3.4263 5.4567
angles: 90.00 90.00 90.00
Closest atoms and distances in Å follow each position.
Space group P4/mmm (No. 123)
One atom of each set of equivalent atoms:
Co (0.0000, 0.0000, 0.0000) (multiplicity 1)  2 Te 2.73, 8 Pt 2.74
Te (0.0000, 0.0000, 0.5000) (multiplicity 1)  2 Co 2.73, 8 Pt 2.83
Pt (0.5000, 0.5000, 0.2337) (multiplicity 2)  1 Pt 2.55, 4 Co 2.74, 4 Te 2.83



Entry 2:
Entry from Alexandria: an optimized crystal structure of Ti2Co2Pt (GGA-PBEsol).

Spin magnetization, μB per atom: 0.000
Energy relative to the elements, eV per formula unit: -2.8

abc: 6.7320 6.7320 2.8514
angles: 90.00 90.00 90.00
Closest atoms and distances in Å follow each position.
Space group P4/mbm (No. 127)
One atom of each set of equivalent atoms:
Ti (0.1706, 0.3294, 0.0000) (multiplicity 4)  6 Co 2.38-2.49
Co (0.1289, 0.6289, 0.5000) (multiplicity 4)  6 Ti 2.38-2.49, 1 Co 2.45, 2 Pt 2.64
Pt (0.0000, 0.0000, 0.5000) (multiplicity 2)  4 Co 2.64, 2 Pt 2.85, 8 Ti 2.88



Entry 3:
Entry from Alexandria: an optimized crystal structure of TlCo2Pt2 (GGA-PBEsol).

Spin magnetization, μB per atom: 0.844
Energy relative to the elements, eV per formula unit: 1.5

abc: 3.7818 3.7818 11.0349
angles: 90.00 90.00 90.00
Closest atoms and distances in Å follow each position.
Space group I4/mmm (No. 139)
One atom of each set of equivalent atoms:
Tl (0.0000, 0.0000, 0.0000) (multiplicity 2)  8 Co 2.89
Co (0.0000, 0.0000, 0.4005) (multiplicity 4)  1 Co 2.20
Pt (0.0000, 0.5000, 0.2500) (multiplicity 4)  4 Co 2.52, 4 Pt 2.67



Entry 4:
Entry from Alexandria: an optimized crystal structure of TlCoPt2 (GGA-PBEsol).

Spin magnetization, μB per atom: 0.444
Energy relative to the elements, eV per formula unit: 0.7

abc: 4.0172 4.0172 7.6482
angles: 90.00 90.00 90.00
Closest atoms and distances in Å follow each position.
Space group I-4m2 (No. 119)
One atom of each set of equivalent atoms:
Tl (0.0000, 0.0000, 0.0000) (multiplicity 2)  4 Co 2.77, 8 Pt 2.77-2.84
Co (0.0000, 0.5000, 0.2500) (multiplicity 2)  4 Tl 2.77, 8 Pt 2.77-2.84
Pt (0.0000, 0.0000, 0.5000) (multiplicity 2)  4 Co 2.77, 4 Pt 2.77, 4 Tl 2.84
Pt (0.0000, 0.5000, 0.7500) (multiplicity 2)  4 Tl 2.77, 4 Pt 2.77, 4 Co 2.84



Entry 5:
Entry from Alexandria: an optimized crystal structure of TlCoPt2 (GGA-PBEsol).

Spin magnetization, μB per atom: 0.473
Energy relative to the elements, eV per formula unit: 0.8

abc: 2.8786 2.8786 7.4884
angles: 90.00 90.00 90.00
Closest atoms and distances in Å follow each position.
Space group P4mm (No. 99)
One atom of each set of equivalent atoms:
Tl (0.0000, 0.0000, 0.0000) (multiplicity 1)  4 Co 2.81, 4 Tl 2.88, 4 Pt 2.93
Co (0.5000, 0.5000, 0.2577) (multiplicity 1)  4 Pt 2.54, 4 Tl 2.81
Pt (0.0000, 0.0000, 0.4612) (multiplicity 1)  4 Co 2.54, 4 Pt 2.80
Pt (0.5000, 0.5000, 0.7189) (multiplicity 1)  8 Pt 2.80-2.88, 4 Tl 2.93



Entry 6:
Entry from Alexandria: an optimized crystal structure of TlCoPt2 (GGA-PBEsol).

Spin magnetization, μB per atom: 0.500
Energy relative to the elements, eV per formula unit: 0.7

abc: 8.9351 2.8594 5.0276
angles: 90.00 101.35 90.00
Closest atoms and distances in Å follow each position.
Space group Cm (No. 8)
One atom of each set of equivalent atoms:
Tl (0.0000, 0.0000, 0.0000) (multiplicity 2)  7 Pt 2.75-2.98, 3 Co 2.80-2.94, 2 Tl 2.86
Co (0.2535, 0.0000, 0.7046) (multiplicity 2)  5 Pt 2.59-2.65, 2 Tl 2.80, 2 Co 2.86
Pt (0.0134, 0.5000, 0.5238) (multiplicity 2)  3 Co 2.59-2.65, 5 Pt 2.76-2.86, 2 Tl 2.81
Pt (0.2579, 0.5000, 0.2631) (multiplicity 2)  2 Co 2.65, 3 Tl 2.75-2.81, 5 Pt 2.76-2.86



Entry 7:
Entry from Alexandria: an optimized crystal structure of CoPtW2 (GGA-PBEsol).

Spin magnetization, μB per atom: 0.000
Energy above the lowest structure with this stoichiometry, meV/atom: 3
Energy relative to the elements, eV per formula unit: -0.4

abc: 3.7599 3.7599 3.9468
angles: 90.00 90.00 90.00
Closest atoms and distances in Å follow each position.
Space group P4/mmm (No. 123)
One atom of each set of equivalent atoms:
Co (0.0000, 0.0000, 0.0000) (multiplicity 1)  4 Pt 2.66, 8 W 2.73
Pt (0.5000, 0.5000, 0.0000) (multiplicity 1)  4 Co 2.66, 8 W 2.73
W (0.0000, 0.5000, 0.5000) (multiplicity 2)  4 W 2.66, 4 Pt 2.73, 4 Co 2.73



Entry 8:
Entry from Alexandria: an optimized crystal structure of Co4PtW (GGA-PBEsol).

Spin magnetization, μB per atom: 0.424
Energy relative to the elements, eV per formula unit: -0.4

abc: 6.5166 6.5166 6.5166
angles: 90.00 90.00 90.00
Closest atoms and distances in Å follow each position.
Space group F-43m (No. 216)
One atom of each set of equivalent atoms:
Co (0.1247, 0.1247, 0.1247) (multiplicity 16)  6 Co 2.30-2.31
Pt (0.2500, 0.2500, 0.7500) (multiplicity 4)  12 Co 2.70, 4 W 2.82
W (0.0000, 0.0000, 0.5000) (multiplicity 4)  12 Co 2.70, 4 Pt 2.82



Entry 9:
Entry from Alexandria: an optimized crystal structure of CoPt2W (GGA-PBEsol).

Spin magnetization, μB per atom: 0.010
Energy above the lowest structure with this stoichiometry, meV/atom: 17
Energy relative to the elements, eV per formula unit: -0.7

abc: 3.8087 3.8087 7.6174
angles: 90.00 90.00 90.00
Closest atoms and distances in Å follow each position.
Space group I-4m2 (No. 119)
One atom of each set of equivalent atoms:
Co (0.0000, 0.0000, 0.0000) (multiplicity 2)  8 Pt 2.69, 4 W 2.69
Pt (0.0000, 0.0000, 0.5000) (multiplicity 2)  4 Co 2.69, 4 W 2.69, 4 Pt 2.69
Pt (0.0000, 0.5000, 0.2500) (multiplicity 2)  4 W 2.69, 4 Co 2.69, 4 Pt 2.69
W (0.0000, 0.5000, 0.7500) (multiplicity 2)  8 Pt 2.69, 4 Co 2.69



Entry 10:
Entry from Alexandria: an optimized crystal structure of CoPt2W (GGA-PBEsol).

Spin magnetization, μB per atom: 0.438
Energy above the lowest structure with this stoichiometry, meV/atom: 194
Energy relative to the elements, eV per formula unit: 0.0

abc: 2.7371 2.7371 26.1775
angles: 90.00 90.00 120.00
Closest atoms and distances in Å follow each position.
Space group R-3m (No. 166, hexagonal axes)
One atom of each set of equivalent atoms:
Co (0.0000, 0.0000, 0.0000) (multiplicity 3)  6 Pt 2.63, 6 Co 2.74
Pt (0.0000, 0.0000, 0.2532) (multiplicity 6)  3 Co 2.63, 6 Pt 2.74, 3 W 2.76
W (0.0000, 0.0000, 0.5000) (multiplicity 3)  6 W 2.74, 6 Pt 2.76



Entry 11:
Entry from Alexandria: an optimized crystal structure of CoPtW2 (GGA-PBEsol).

Spin magnetization, μB per atom: 0.169
Energy above the lowest structure with this stoichiometry, meV/atom: 197
Energy relative to the elements, eV per formula unit: 0.4

abc: 4.6187 2.7613 4.6991
angles: 90.00 108.43 90.00
Closest atoms and distances in Å follow each position.
Space group P2/m (No. 10)
One atom of each set of equivalent atoms:
Co (0.0000, 0.0000, 0.0000) (multiplicity 1)  4 Pt 2.69, 6 W 2.72-2.73, 2 Co 2.76
Pt (0.5000, 0.5000, 0.0000) (multiplicity 1)  4 Co 2.69, 6 W 2.72-2.73, 2 Pt 2.76
W (0.0000, 0.5000, 0.5000) (multiplicity 1)  6 W 2.69-2.76, 2 Pt 2.72, 4 Co 2.73
W (0.5000, 0.0000, 0.5000) (multiplicity 1)  6 W 2.69-2.76, 2 Co 2.72, 4 Pt 2.73



Entry 12:
Entry from Alexandria: an optimized crystal structure of CoPt2W (GGA-PBEsol).

Spin magnetization, μB per atom: 0.127
Energy above the lowest structure with this stoichiometry, meV/atom: 0
Energy relative to the elements, eV per formula unit: -0.8

abc: 3.7643 3.7643 7.7896
angles: 90.00 90.00 90.00
Closest atoms and distances in Å follow each position.
Space group I4/mmm (No. 139)
One atom of each set of equivalent atoms:
Co (0.0000, 0.0000, 0.0000) (multiplicity 2)  4 W 2.66, 8 Pt 2.71
Pt (0.0000, 0.5000, 0.2500) (multiplicity 4)  4 Pt 2.66, 4 W 2.71, 4 Co 2.71
W (0.0000, 0.0000, 0.5000) (multiplicity 2)  4 Co 2.66, 8 Pt 2.71



Entry 13:
Entry from Alexandria: an optimized crystal structure of CoPtW2 (GGA-PBEsol).

Spin magnetization, μB per atom: 0.000
Energy above the lowest structure with this stoichiometry, meV/atom: 0
Energy relative to the elements, eV per formula unit: -0.4

abc: 3.7596 3.7596 7.8930
angles: 90.00 90.00 90.00
Closest atoms and distances in Å follow each position.
Space group I4/mmm (No. 139)
One atom of each set of equivalent atoms:
Co (0.0000, 0.0000, 0.0000) (multiplicity 2)  4 Pt 2.66, 8 W 2.73
Pt (0.0000, 0.0000, 0.5000) (multiplicity 2)  4 Co 2.66, 8 W 2.73
W (0.0000, 0.5000, 0.2500) (multiplicity 4)  4 W 2.66, 4 Co 2.73, 4 Pt 2.73



Entry 14:
Entry from Alexandria: an optimized crystal structure of CoPt2W (GGA-PBEsol).

Spin magnetization, μB per atom: 0.440
Energy above the lowest structure with this stoichiometry, meV/atom: 54
Energy relative to the elements, eV per formula unit: -0.6

abc: 2.7001 4.3559 4.7763
angles: 90.00 90.00 90.00
Closest atoms and distances in Å follow each position.
Space group Pmm2 (No. 25)
One atom of each set of equivalent atoms:
Co (0.0000, 0.0000, 0.0000) (multiplicity 1)  2 W 2.64, 8 Pt 2.69-2.77, 2 Co 2.70
Pt (0.5000, 0.0000, 0.4936) (multiplicity 1)  4 Pt 2.70-2.71, 4 W 2.70, 4 Co 2.72-2.77
Pt (0.5000, 0.5000, 0.8313) (multiplicity 1)  4 W 2.67-2.82, 4 Co 2.69, 4 Pt 2.70-2.71
W (0.0000, 0.5000, 0.3129) (multiplicity 1)  2 Co 2.64, 8 Pt 2.67-2.82, 2 W 2.70



Entry 15:
Entry from Alexandria: an optimized crystal structure of CoPtW2 (GGA-PBEsol).

Spin magnetization, μB per atom: 0.000
Energy above the lowest structure with this stoichiometry, meV/atom: 3
Energy relative to the elements, eV per formula unit: -0.4

abc: 2.6910 4.3518 4.7827
angles: 90.00 90.00 90.00
Closest atoms and distances in Å follow each position.
Space group Pmm2 (No. 25)
One atom of each set of equivalent atoms:
Co (0.0000, 0.0000, 0.0000) (multiplicity 1)  8 W 2.66-2.79, 2 Co 2.69, 2 Pt 2.70
Pt (0.0000, 0.5000, 0.6658) (multiplicity 1)  8 W 2.68-2.81, 2 Pt 2.69, 2 Co 2.70
W (0.5000, 0.0000, 0.4885) (multiplicity 1)  4 W 2.69-2.71, 4 Pt 2.70, 4 Co 2.70-2.79
W (0.5000, 0.5000, 0.1500) (multiplicity 1)  4 Co 2.66, 4 Pt 2.68-2.81, 4 W 2.69-2.71



Entry 16:
Entry from Alexandria: an optimized crystal structure of CoPtW2 (GGA-PBEsol).

Spin magnetization, μB per atom: 0.071
Energy above the lowest structure with this stoichiometry, meV/atom: 16
Energy relative to the elements, eV per formula unit: -0.3

abc: 2.6831 3.8843 5.3742
angles: 90.00 90.00 90.00
Closest atoms and distances in Å follow each position.
Space group Pmmm (No. 47)
One atom of each set of equivalent atoms:
Co (0.0000, 0.0000, 0.0000) (multiplicity 1)  8 W 2.68, 2 Co 2.68, 2 Pt 2.69
Pt (0.0000, 0.0000, 0.5000) (multiplicity 1)  2 Pt 2.68, 2 Co 2.69, 8 W 2.75
W (0.5000, 0.5000, 0.2361) (multiplicity 2)  4 W 2.54-2.84, 4 Co 2.68, 4 Pt 2.75



Entry 17:
Entry from Alexandria: an optimized crystal structure of CoPt2W (GGA-PBEsol).

Spin magnetization, μB per atom: 0.240
Energy above the lowest structure with this stoichiometry, meV/atom: 196
Energy relative to the elements, eV per formula unit: 0.0

abc: 4.6709 2.7227 4.6852
angles: 90.00 110.00 90.00
Closest atoms and distances in Å follow each position.
Space group P2/m (No. 10)
One atom of each set of equivalent atoms:
Co (0.0000, 0.0000, 0.0000) (multiplicity 1)  6 Pt 2.68-2.71, 4 W 2.70, 2 Co 2.72
Pt (0.0000, 0.5000, 0.5000) (multiplicity 1)  2 W 2.68, 6 Pt 2.70-2.72, 4 Co 2.71
Pt (0.5000, 0.0000, 0.5000) (multiplicity 1)  2 Co 2.68, 6 Pt 2.70-2.72, 4 W 2.71
W (0.5000, 0.5000, 0.0000) (multiplicity 1)  6 Pt 2.68-2.71, 4 Co 2.70, 2 W 2.72



Entry 18:
Entry from Alexandria: an optimized crystal structure of CoPtW2 (GGA-PBEsol).

Spin magnetization, μB per atom: 0.280
Energy above the lowest structure with this stoichiometry, meV/atom: 516
Energy relative to the elements, eV per formula unit: 1.7

abc: 6.1369 6.1369 6.1369
angles: 90.00 90.00 90.00
Closest atoms and distances in Å follow each position.
Space group Fm-3m (No. 225)
One atom of each set of equivalent atoms:
Co (0.0000, 0.0000, 0.0000) (multiplicity 4)  8 W 2.66
Pt (0.0000, 0.0000, 0.5000) (multiplicity 4)  8 W 2.66
W (0.2500, 0.2500, 0.2500) (multiplicity 8)  4 Co 2.66, 4 Pt 2.66



Entry 19:
Entry from Alexandria: an optimized crystal structure of YCo2Pt (GGA-PBEsol).

Spin magnetization, μB per atom: 0.845
Energy relative to the elements, eV per formula unit: 1.9

abc: 2.8349 2.8349 26.2771
angles: 90.00 90.00 120.00
Closest atoms and distances in Å follow each position.
Space group R-3m (No. 166, hexagonal axes)
One atom of each set of equivalent atoms:
Y (0.0000, 0.0000, 0.0000) (multiplicity 3)  6 Y 2.83, 6 Co 2.88
Co (0.0000, 0.0000, 0.2431) (multiplicity 6)  3 Pt 2.59, 6 Co 2.83, 3 Y 2.88
Pt (0.0000, 0.0000, 0.5000) (multiplicity 3)  6 Co 2.59, 6 Pt 2.83



Entry 20:
Entry from Alexandria: an optimized crystal structure of ZnCoPt2 (GGA-PBEsol).

Spin magnetization, μB per atom: 0.581
Energy relative to the elements, eV per formula unit: -1.1

abc: 2.7379 3.5914 5.4765
angles: 90.00 90.00 90.00
Closest atoms and distances in Å follow each position.
Space group Pmmm (No. 47)
One atom of each set of equivalent atoms:
Zn (0.0000, 0.0000, 0.0000) (multiplicity 1)  8 Pt 2.66, 2 Zn 2.74, 2 Co 2.74
Co (0.0000, 0.0000, 0.5000) (multiplicity 1)  8 Pt 2.62, 2 Co 2.74, 2 Zn 2.74
Pt (0.5000, 0.5000, 0.2556) (multiplicity 2)  4 Co 2.62, 4 Zn 2.66, 4 Pt 2.68-2.80